Here is SrNd2S4 at its PBEsol-relaxed geometry from the Alexandria database. Energies are from SCAN.

a b c (Å): 7.4108 7.4108 7.4108
angles (deg): 109.46 109.46 109.50
With the nearest neighbours (Å) after each atom.
Sites, in units of the cell vectors:
Sr 0.0000 0.0000 0.0000  8 S 2.93-3.07
Sr 0.7500 0.2500 0.5000  8 S 2.93-3.07
Nd 0.2473 0.1250 0.6223  8 S 2.84-3.03
Nd 0.3750 0.7527 0.8777  8 S 2.84-3.03
Nd 0.5027 0.6250 0.3777  8 S 2.84-3.03
Nd 0.8750 0.4973 0.1223  8 S 2.84-3.03
S 0.1338 0.3848 0.4065  4 Nd 2.84-3.03, 2 Sr 2.93-3.07, 1 S 3.18
S 0.1348 0.3838 0.9065  4 Nd 2.84-3.03, 2 Sr 2.93-3.07, 1 S 3.18
S 0.2727 0.8662 0.2510  4 Nd 2.84-3.03, 2 Sr 2.93-3.07, 1 S 3.18
S 0.4773 0.2283 0.0935  4 Nd 2.84-3.03, 2 Sr 2.93-3.07, 1 S 3.18
S 0.6152 0.0217 0.7490  4 Nd 2.84-3.03, 2 Sr 2.93-3.07, 1 S 3.18
S 0.6162 0.5227 0.7510  4 Nd 2.84-3.03, 2 Sr 2.93-3.07, 1 S 3.18
S 0.7717 0.8652 0.2490  4 Nd 2.84-3.03, 2 Sr 2.93-3.07, 1 S 3.18
S 0.9783 0.7273 0.5935  4 Nd 2.84-3.03, 2 Sr 2.93-3.07, 1 S 3.18

The calculation puts the volume at 313.3 Å³ per cell.


Here is Nd2ThS5 at its PBEsol-relaxed geometry from the Alexandria database. Energies are from SCAN.

a b c (Å): 11.8551 8.1442 7.4731
angles (deg): 90.00 90.00 90.00
With the nearest neighbours (Å) after each atom.
Sites, in units of the cell vectors:
Nd 0.1779 0.0000 0.0205  8 S 2.85-3.06
Nd 0.1779 0.5000 0.0205  8 S 2.85-3.06
Nd 0.3221 0.0000 0.5205  8 S 2.85-3.06
Nd 0.3221 0.5000 0.5205  8 S 2.85-3.06
Nd 0.6779 0.0000 0.4795  8 S 2.85-3.06
Nd 0.6779 0.5000 0.4795  8 S 2.85-3.06
Nd 0.8221 0.0000 0.9795  8 S 2.85-3.06
Nd 0.8221 0.5000 0.9795  8 S 2.85-3.06
Th 0.0103 0.2500 0.5784  7 S 2.71-2.87
Th 0.4897 0.7500 0.0784  7 S 2.71-2.87
Th 0.5103 0.2500 0.9216  7 S 2.71-2.87
Th 0.9897 0.7500 0.4216  7 S 2.71-2.87
S 0.0002 0.2500 0.9616  1 Th 2.87, 4 Nd 2.94-2.96
S 0.9998 0.7500 0.0384  1 Th 2.87, 4 Nd 2.94-2.96
S 0.0998 0.5458 0.6638  2 Th 2.71-2.78, 2 Nd 2.85-2.87
S 0.0998 0.9542 0.6638  2 Th 2.71-2.78, 2 Nd 2.85-2.87
S 0.1872 0.2500 0.3264  1 Th 2.82, 4 Nd 2.97-3.06
S 0.2191 0.7500 0.2978  1 Th 2.87, 4 Nd 2.90-2.95
S 0.2809 0.2500 0.7978  1 Th 2.87, 4 Nd 2.90-2.95
S 0.3128 0.7500 0.8264  1 Th 2.82, 4 Nd 2.97-3.06
S 0.4002 0.0458 0.1638  2 Th 2.71-2.78, 2 Nd 2.85-2.87
S 0.4002 0.4542 0.1638  2 Th 2.71-2.78, 2 Nd 2.85-2.87
S 0.5002 0.2500 0.5384  1 Th 2.87, 4 Nd 2.94-2.96
S 0.4998 0.7500 0.4616  1 Th 2.87, 4 Nd 2.94-2.96
S 0.5998 0.5458 0.8362  2 Th 2.71-2.78, 2 Nd 2.85-2.87
S 0.5998 0.9542 0.8362  2 Th 2.71-2.78, 2 Nd 2.85-2.87
S 0.6872 0.2500 0.1736  1 Th 2.82, 4 Nd 2.97-3.06
S 0.7191 0.7500 0.2022  1 Th 2.87, 4 Nd 2.90-2.95
S 0.7809 0.2500 0.7022  1 Th 2.87, 4 Nd 2.90-2.95
S 0.8128 0.7500 0.6736  1 Th 2.82, 4 Nd 2.97-3.06
S 0.9002 0.0458 0.3362  2 Th 2.71-2.78, 2 Nd 2.85-2.87
S 0.9002 0.4542 0.3362  2 Th 2.71-2.78, 2 Nd 2.85-2.87

The calculation puts the volume at 721.5 Å³ per cell.


Here is NdTm3S6 at its PBEsol-relaxed geometry from the Alexandria database. Energies are from SCAN.

a b c (Å): 10.8158 3.8894 11.1165
angles (deg): 90.00 108.94 90.00
With the nearest neighbours (Å) after each atom.
Sites, in units of the cell vectors:
Nd 0.0499 0.2500 0.1962  8 S 2.87-2.97
Nd 0.9501 0.7500 0.8038  8 S 2.87-2.97
Tm 0.1603 0.2500 0.5865  6 S 2.60-2.72
Tm 0.3202 0.7500 0.9986  7 S 2.64-2.84
Tm 0.4420 0.2500 0.3329  6 S 2.61-2.71
Tm 0.5580 0.7500 0.6671  6 S 2.61-2.71
Tm 0.6798 0.2500 0.0014  7 S 2.64-2.84
Tm 0.8397 0.7500 0.4135  6 S 2.60-2.72
S 0.0837 0.7500 0.4063  3 Tm 2.67-2.72, 2 Nd 2.97
S 0.1198 0.2500 0.9644  2 Tm 2.84, 3 Nd 2.87-2.91
S 0.1971 0.7500 0.7492  3 Tm 2.60-2.66
S 0.2653 0.7500 0.2280  3 Tm 2.71-2.80, 2 Nd 2.97
S 0.3931 0.2500 0.5569  4 Tm 2.64-2.71
S 0.4808 0.2500 0.1129  4 Tm 2.61-2.81
S 0.5192 0.7500 0.8871  4 Tm 2.61-2.81
S 0.6069 0.7500 0.4431  4 Tm 2.64-2.71
S 0.7347 0.2500 0.7720  3 Tm 2.71-2.80, 2 Nd 2.97
S 0.8029 0.2500 0.2508  3 Tm 2.60-2.66
S 0.8802 0.7500 0.0356  2 Tm 2.84, 3 Nd 2.87-2.91
S 0.9163 0.2500 0.5937  3 Tm 2.67-2.72, 2 Nd 2.97

The calculation puts the volume at 442.3 Å³ per cell.


Here is NdTmS3 at its PBEsol-relaxed geometry from the Alexandria database. Energies are from SCAN.

a b c (Å): 10.8317 3.8933 21.1811
angles (deg): 90.00 101.79 90.00
With the nearest neighbours (Å) after each atom.
Sites, in units of the cell vectors:
Nd 0.0891 0.2500 0.3636  7 S 2.79-3.00
Nd 0.2032 0.2500 0.0376  8 S 2.83-3.07
Nd 0.3060 0.7500 0.7345  7 S 2.84-2.97
Nd 0.3065 0.2500 0.2339  8 S 2.87-2.91
Nd 0.6935 0.7500 0.7661  8 S 2.87-2.91
Nd 0.6940 0.2500 0.2655  7 S 2.84-2.97
Nd 0.7968 0.7500 0.9624  8 S 2.83-3.07
Nd 0.9109 0.7500 0.6364  7 S 2.79-3.00
Tm 0.0302 0.2500 0.8526  6 S 2.60-2.75
Tm 0.1794 0.2500 0.5462  7 S 2.67-2.88
Tm 0.4461 0.2500 0.9166  6 S 2.57-2.73
Tm 0.4775 0.7500 0.4123  7 S 2.68-2.86
Tm 0.5225 0.2500 0.5877  7 S 2.68-2.86
Tm 0.5539 0.7500 0.0834  6 S 2.57-2.73
Tm 0.8206 0.7500 0.4538  7 S 2.67-2.88
Tm 0.9698 0.7500 0.1474  6 S 2.60-2.75
S 0.0367 0.2500 0.2288  2 Tm 2.60, 2 Nd 2.79-2.90
S 0.0583 0.7500 0.9460  2 Tm 2.75, 3 Nd 2.92-2.96
S 0.0840 0.7500 0.4626  3 Tm 2.69-2.82, 2 Nd 2.87
S 0.1265 0.2500 0.6641  1 Tm 2.67, 2 Nd 2.93
S 0.2064 0.7500 0.1352  1 Tm 2.63, 4 Nd 2.83-2.90
S 0.2506 0.7500 0.3265  1 Tm 2.74, 4 Nd 2.83-2.91
S 0.2532 0.2500 0.8228  2 Tm 2.57-2.62, 2 Nd 2.84
S 0.3430 0.7500 0.5996  4 Tm 2.72-2.80, 1 Nd 2.97
S 0.3548 0.7500 0.9854  3 Tm 2.67-2.73, 2 Nd 2.91
S 0.3611 0.2500 0.4644  4 Tm 2.68-2.88
S 0.4547 0.2500 0.1360  2 Tm 2.58, 1 Nd 2.87
S 0.4964 0.2500 0.7195  1 Tm 2.86, 4 Nd 2.90-2.91, 1 S 3.09
S 0.5036 0.7500 0.2805  1 Tm 2.86, 4 Nd 2.90-2.91, 1 S 3.09
S 0.5453 0.7500 0.8640  2 Tm 2.58, 1 Nd 2.87
S 0.6389 0.7500 0.5356  4 Tm 2.68-2.88
S 0.6452 0.2500 0.0146  3 Tm 2.67-2.73, 2 Nd 2.91
S 0.6570 0.2500 0.4004  4 Tm 2.72-2.80, 1 Nd 2.97
S 0.7468 0.7500 0.1772  2 Tm 2.57-2.62, 2 Nd 2.84
S 0.7494 0.2500 0.6735  1 Tm 2.74, 4 Nd 2.83-2.91
S 0.7936 0.2500 0.8648  1 Tm 2.63, 4 Nd 2.83-2.90
S 0.8735 0.7500 0.3359  1 Tm 2.67, 2 Nd 2.93
S 0.9160 0.2500 0.5374  3 Tm 2.69-2.82, 2 Nd 2.87
S 0.9417 0.2500 0.0540  2 Tm 2.75, 3 Nd 2.92-2.96
S 0.9633 0.7500 0.7712  2 Tm 2.60, 2 Nd 2.79-2.90

The calculation puts the volume at 874.4 Å³ per cell.


Here is Nd4Tm11S22 at its PBEsol-relaxed geometry from the Alexandria database. Energies are from SCAN.

a b c (Å): 19.2574 19.2574 11.1544
angles (deg): 91.63 91.63 11.52
With the nearest neighbours (Å) after each atom.
Sites, in units of the cell vectors:
Nd 0.1047 0.1047 0.0127  8 S 2.86-2.98
Nd 0.3679 0.3679 0.3513  8 S 2.86-3.19
Nd 0.6321 0.6321 0.6487  8 S 2.86-3.19
Nd 0.8953 0.8953 0.9873  8 S 2.86-2.98
Tm 0.0000 0.0000 0.0000  6 S 2.67-2.69
Tm 0.0706 0.0706 0.3593  6 S 2.62-2.70
Tm 0.2023 0.2023 0.9408  7 S 2.65-2.83
Tm 0.2644 0.2644 0.3524  6 S 2.61-2.70
Tm 0.3419 0.3419 0.6998  6 S 2.60-2.72
Tm 0.4616 0.4616 0.2687  6 S 2.60-2.71
Tm 0.5384 0.5384 0.7313  6 S 2.60-2.71
Tm 0.6581 0.6581 0.3002  6 S 2.60-2.72
Tm 0.7356 0.7356 0.6476  6 S 2.61-2.70
Tm 0.7977 0.7977 0.0592  7 S 2.65-2.83
Tm 0.9294 0.9294 0.6407  6 S 2.62-2.70
S 0.0084 0.0084 0.2398  4 Tm 2.66-2.70
S 0.0876 0.0876 0.7557  2 Tm 2.71, 3 Nd 2.86-2.92
S 0.1359 0.1359 0.4519  3 Tm 2.68-2.72, 2 Nd 2.93
S 0.1691 0.1691 0.1498  3 Tm 2.60-2.69, 1 Nd 2.86
S 0.1883 0.1883 0.6906  3 Tm 2.70-2.83, 2 Nd 2.92
S 0.2544 0.2544 0.1202  4 Tm 2.61-2.79
S 0.2799 0.2799 0.5905  4 Tm 2.64-2.70
S 0.3501 0.3501 0.0942  2 Tm 2.81, 3 Nd 2.88-2.93
S 0.4072 0.4072 0.7889  3 Tm 2.66-2.70, 2 Nd 2.98
S 0.4420 0.4420 0.4901  3 Tm 2.60-2.62
S 0.4528 0.4528 0.0290  3 Tm 2.67-2.69, 2 Nd 2.96
S 0.5472 0.5472 0.9710  3 Tm 2.67-2.69, 2 Nd 2.96
S 0.5580 0.5580 0.5099  3 Tm 2.60-2.62
S 0.5928 0.5928 0.2111  3 Tm 2.66-2.70, 2 Nd 2.98
S 0.6499 0.6499 0.9058  2 Tm 2.81, 3 Nd 2.88-2.93
S 0.7201 0.7201 0.4095  4 Tm 2.64-2.70
S 0.7456 0.7456 0.8798  4 Tm 2.61-2.79
S 0.8117 0.8117 0.3094  3 Tm 2.70-2.83, 2 Nd 2.92
S 0.8309 0.8309 0.8502  3 Tm 2.60-2.69, 1 Nd 2.86
S 0.8641 0.8641 0.5481  3 Tm 2.68-2.72, 2 Nd 2.93
S 0.9124 0.9124 0.2443  2 Tm 2.71, 3 Nd 2.86-2.92
S 0.9916 0.9916 0.7602  4 Tm 2.66-2.70

The calculation puts the volume at 825.6 Å³ per cell.


Here is NdU2S5 at its PBEsol-relaxed geometry from the Alexandria database. Energies are from SCAN.

a b c (Å): 11.4638 7.2701 7.8412
angles (deg): 90.00 90.00 90.00
With the nearest neighbours (Å) after each atom.
Sites, in units of the cell vectors:
Nd 0.1780 0.0282 0.0000  8 S 2.82-2.95
Nd 0.3220 0.5282 0.5000  8 S 2.82-2.95
Nd 0.6780 0.4718 0.0000  8 S 2.82-2.95
Nd 0.8220 0.9718 0.5000  8 S 2.82-2.95
U 0.0088 0.5773 0.7503  7 S 2.60-2.80
U 0.1786 0.0244 0.5034  8 S 2.76-2.95
U 0.3214 0.5244 0.0034  8 S 2.76-2.95
U 0.4912 0.0773 0.2503  7 S 2.60-2.80
U 0.5088 0.9227 0.7503  7 S 2.60-2.80
U 0.6786 0.4756 0.5034  8 S 2.76-2.95
U 0.8214 0.9756 0.0034  8 S 2.76-2.95
U 0.9912 0.4227 0.2503  7 S 2.60-2.80
S 0.0000 0.0382 0.2530  3 U 2.80-2.87, 2 Nd 2.85
S 0.0000 0.9618 0.7530  3 U 2.80-2.87, 2 Nd 2.85
S 0.0910 0.6754 0.4512  3 U 2.63-2.76, 1 Nd 2.88
S 0.0978 0.6596 0.0461  3 U 2.60-2.77, 1 Nd 2.86
S 0.1880 0.3308 0.7505  3 U 2.73-2.95, 2 Nd 2.88-2.95
S 0.2180 0.3007 0.2524  3 U 2.75-2.85, 2 Nd 2.82-2.84
S 0.2820 0.8007 0.7524  3 U 2.75-2.85, 2 Nd 2.82-2.84
S 0.3120 0.8308 0.2505  3 U 2.73-2.95, 2 Nd 2.88-2.95
S 0.4022 0.1596 0.5461  3 U 2.60-2.77, 1 Nd 2.86
S 0.4090 0.1754 0.9512  3 U 2.63-2.76, 1 Nd 2.88
S 0.5000 0.4618 0.2530  3 U 2.80-2.87, 2 Nd 2.85
S 0.5000 0.5382 0.7530  3 U 2.80-2.87, 2 Nd 2.85
S 0.5910 0.8246 0.4512  3 U 2.63-2.76, 1 Nd 2.88
S 0.5978 0.8404 0.0461  3 U 2.60-2.77, 1 Nd 2.86
S 0.6880 0.1692 0.7505  3 U 2.73-2.95, 2 Nd 2.88-2.95
S 0.7180 0.1993 0.2524  3 U 2.75-2.85, 2 Nd 2.82-2.84
S 0.7820 0.6993 0.7524  3 U 2.75-2.85, 2 Nd 2.82-2.84
S 0.8120 0.6692 0.2505  3 U 2.73-2.95, 2 Nd 2.88-2.95
S 0.9022 0.3404 0.5461  3 U 2.60-2.77, 1 Nd 2.86
S 0.9090 0.3246 0.9512  3 U 2.63-2.76, 1 Nd 2.88

The calculation puts the volume at 653.5 Å³ per cell.


Here is Nd2ZrS5 at its PBEsol-relaxed geometry from the Alexandria database. Energies are from SCAN.

a b c (Å): 11.3950 7.9537 7.2689
angles (deg): 90.00 90.00 90.00
With the nearest neighbours (Å) after each atom.
Sites, in units of the cell vectors:
Nd 0.1750 0.0008 0.0427  8 S 2.85-2.98
Nd 0.1750 0.4992 0.0427  8 S 2.85-2.98
Nd 0.3250 0.5008 0.5427  8 S 2.85-2.98
Nd 0.3250 0.9992 0.5427  8 S 2.85-2.98
Nd 0.6750 0.0008 0.4573  8 S 2.85-2.98
Nd 0.6750 0.4992 0.4573  8 S 2.85-2.98
Nd 0.8250 0.5008 0.9573  8 S 2.85-2.98
Nd 0.8250 0.9992 0.9573  8 S 2.85-2.98
Zr 0.0098 0.7500 0.5765  7 S 2.53-2.69
Zr 0.4902 0.2500 0.0765  7 S 2.53-2.69
Zr 0.5098 0.7500 0.9235  7 S 2.53-2.69
Zr 0.9902 0.2500 0.4235  7 S 2.53-2.69
S 0.0041 0.7500 0.9459  1 Zr 2.69, 4 Nd 2.85-2.88
S 0.0821 0.0380 0.6708  2 Zr 2.53-2.68
S 0.0821 0.4620 0.6708  2 Zr 2.53-2.68
S 0.1875 0.7500 0.3457  1 Zr 2.63, 2 Nd 2.90
S 0.2088 0.2500 0.3261  1 Zr 2.59, 4 Nd 2.87-2.88
S 0.2912 0.7500 0.8261  1 Zr 2.59, 4 Nd 2.87-2.88
S 0.3125 0.2500 0.8457  1 Zr 2.63, 2 Nd 2.90
S 0.4179 0.5380 0.1708  2 Zr 2.53-2.68
S 0.4179 0.9620 0.1708  2 Zr 2.53-2.68
S 0.4959 0.2500 0.4459  1 Zr 2.69, 4 Nd 2.85-2.88
S 0.5041 0.7500 0.5541  1 Zr 2.69, 4 Nd 2.85-2.88
S 0.5821 0.0380 0.8292  2 Zr 2.53-2.68
S 0.5821 0.4620 0.8292  2 Zr 2.53-2.68
S 0.6875 0.7500 0.1543  1 Zr 2.63, 2 Nd 2.90
S 0.7088 0.2500 0.1739  1 Zr 2.59, 4 Nd 2.87-2.88
S 0.7912 0.7500 0.6739  1 Zr 2.59, 4 Nd 2.87-2.88
S 0.8125 0.2500 0.6543  1 Zr 2.63, 2 Nd 2.90
S 0.9179 0.5380 0.3292  2 Zr 2.53-2.68
S 0.9179 0.9620 0.3292  2 Zr 2.53-2.68
S 0.9959 0.2500 0.0541  1 Zr 2.69, 4 Nd 2.85-2.88

The calculation puts the volume at 658.8 Å³ per cell.


Number 1: calculated total energy -23.529 eV/atom, raw formation energy -2.3929 eV per atom. Number 2: calculated total energy -31.237 eV/atom, raw formation energy -2.3342 eV per atom. Number 3: calculated total energy -28.063 eV/atom, raw formation energy -2.3783 eV per atom. Number 4: calculated total energy -27.237 eV/atom, raw formation energy -2.3769 eV per atom. Number 5: calculated total energy -28.231 eV/atom, raw formation energy -2.3855 eV per atom. Number 6: calculated total energy -39.068 eV/atom, raw formation energy -1.7208 eV per atom. Number 7: calculated total energy -22.946 eV/atom, raw formation energy -2.1954 eV per atom.